# 1
A plane-wave DFT calculation with GGA-PBE was carried out for LiAl4Ru3 after structural relaxation.

Summary:
Its density of states at the Fermi level is 3.6 states/eV/f.u. As for the formation energy from the elements: -58 kJ per mole of atoms. The calculated volume comes out at 110 Å³ per cell. Its space group is No. 47.

Cell lengths 3.057, 4.213, 8.520 Å; angles 90.00, 90.00, 90.00 degrees
Element x y z (fractional)
Li1 0.000 0.000 0.000
Al1 0.500 0.000 0.264
Al2 0.500 0.000 0.736
Al3 0.500 0.500 0.000
Al4 0.500 0.500 0.500
Ru1 0.000 0.000 0.500
Ru2 0.000 0.500 0.237
Ru3 0.000 0.500 0.763

***

# 2
A plane-wave DFT calculation with GGA-PBE was carried out for HoThMg6 after structural relaxation.

Summary:
Its density of states at the Fermi level is 4.9 states/eV/f.u. As for the formation energy from the elements: -1 kJ per mole of atoms. The calculated volume comes out at 408 Å³ per cell. Its space group is No. 38.

Cell lengths 5.216, 6.708, 11.649 Å; angles 90.00, 90.00, 90.00 degrees
Element x y z (fractional)
Ho1 0.000 0.000 0.000
Ho2 0.000 0.500 0.500
Th1 0.500 0.000 0.666
Th2 0.500 0.500 0.166
Mg1 0.000 0.000 0.494
Mg2 0.000 0.243 0.252
Mg3 0.000 0.257 0.752
Mg4 0.000 0.500 0.994
Mg5 0.000 0.743 0.752
Mg6 0.000 0.757 0.252
Mg7 0.500 0.000 0.169
Mg8 0.500 0.246 0.414
Mg9 0.500 0.254 0.914
Mg10 0.500 0.500 0.669
Mg11 0.500 0.746 0.914
Mg12 0.500 0.754 0.414

***

# 3
A plane-wave DFT calculation with GGA-PBE was carried out for KLa2Sc after structural relaxation.

Summary:
Its density of states at the Fermi level is 7.8 states/eV/f.u. As for the formation energy from the elements: 51 kJ per mole of atoms. Its excess energy over the best structure of this formula in the dataset is 1.34 eV/f.u. The calculated volume comes out at 293 Å³ per cell. Its space group is No. 119.

Cell lengths 5.225, 5.225, 10.719 Å; angles 90.00, 90.00, 90.00 degrees
Element x y z (fractional)
K1 0.000 0.000 0.000
K2 0.500 0.500 0.500
La1 0.000 0.000 0.500
La2 0.000 0.500 0.750
La3 0.500 0.000 0.250
La4 0.500 0.500 0.000
Sc1 0.000 0.500 0.250
Sc2 0.500 0.000 0.750

***

# 4
A plane-wave DFT calculation with GGA-PBE was carried out for Tm2UC2 after structural relaxation.

Summary:
Its density of states at the Fermi level is 3.3 states/eV/f.u. As for the formation energy from the elements: -5 kJ per mole of atoms. The calculated volume comes out at 168 Å³ per cell. Its space group is No. 72.

Cell lengths 6.380, 6.380, 6.380 Å; angles 116.61, 83.91, 131.16 degrees
Element x y z (fractional)
Tm1 0.159 0.129 0.288
Tm2 0.341 0.629 0.971
Tm3 0.659 0.371 0.029
Tm4 0.841 0.871 0.712
U1 0.250 0.750 0.500
U2 0.750 0.250 0.500
C1 0.103 0.764 0.867
C2 0.397 0.264 0.661
C3 0.603 0.736 0.339
C4 0.897 0.236 0.133

***

# 5
A plane-wave DFT calculation with GGA-PBE was carried out for La2HoAg6 after structural relaxation.

Summary:
Its density of states at the Fermi level is 8.2 states/eV/f.u. As for the formation energy from the elements: -25 kJ per mole of atoms. The calculated volume comes out at 216 Å³ per cell. Its space group is No. 191.

Cell lengths 8.357, 8.357, 3.573 Å; angles 90.00, 90.00, 120.00 degrees
Element x y z (fractional)
La1 0.333 0.667 0.000
La2 0.667 0.333 0.000
Ho1 0.000 0.000 0.000
Ag1 0.000 0.330 0.500
Ag2 0.000 0.670 0.500
Ag3 0.330 0.000 0.500
Ag4 0.330 0.330 0.500
Ag5 0.670 0.000 0.500
Ag6 0.670 0.670 0.500

***

# 6
A plane-wave DFT calculation with GGA-PBE was carried out for ZnGa2Rh3 after structural relaxation.

Summary:
Its density of states at the Fermi level is 1.8 states/eV/f.u. As for the formation energy from the elements: -63 kJ per mole of atoms. The calculated volume comes out at 83 Å³ per cell. Its space group is No. 123.

Cell lengths 3.026, 3.026, 9.092 Å; angles 90.00, 90.00, 90.00 degrees
Element x y z (fractional)
Zn1 0.000 0.000 0.000
Ga1 0.000 0.000 0.329
Ga2 0.000 0.000 0.671
Rh1 0.500 0.500 0.172
Rh2 0.500 0.500 0.500
Rh3 0.500 0.500 0.828